# La2SiTc GGA-PBE relaxed
data_La2SiTc
_cell_length_a 3.761
_cell_length_b 3.819
_cell_length_c 6.634
_cell_angle_alpha 90.00
_cell_angle_beta 90.00
_cell_angle_gamma 90.00
_symmetry_space_group_name_H-M 'P 1'
_symmetry_Int_Tables_number 1
loop_
_symmetry_equiv_pos_as_xyz
'x,y,z'
loop_
_atom_site_label
_atom_site_type_symbol
_atom_site_fract_x
_atom_site_fract_y
_atom_site_fract_z
La1 La 0.000 0.000 0.249
La2 La 0.000 0.000 0.751
Si1 Si 0.500 0.500 0.000
Tc1 Tc 0.500 0.500 0.500
# Formation energy (no corrections) ... -0.039 eV per atom
# D(E_F) ... 3.3 states/eV per cell
# E_tot ... -25.80 eV/cell
# M_tot ... 0.0 μB per cell

***

# Al2Hg3Cl8 GGA-PBE relaxed
data_Al2Hg3Cl8
_cell_length_a 7.304
_cell_length_b 15.943
_cell_length_c 14.712
_cell_angle_alpha 90.00
_cell_angle_beta 98.09
_cell_angle_gamma 90.00
_symmetry_space_group_name_H-M 'P 1'
_symmetry_Int_Tables_number 1
loop_
_symmetry_equiv_pos_as_xyz
'x,y,z'
loop_
_atom_site_label
_atom_site_type_symbol
_atom_site_fract_x
_atom_site_fract_y
_atom_site_fract_z
Al1 Al 0.102 0.182 0.091
Al2 Al 0.102 0.318 0.591
Al3 Al 0.304 0.597 0.781
Al4 Al 0.304 0.903 0.281
Al5 Al 0.696 0.097 0.719
Al6 Al 0.696 0.403 0.219
Al7 Al 0.898 0.682 0.409
Al8 Al 0.898 0.818 0.909
Hg1 Hg 0.126 0.533 0.198
Hg2 Hg 0.126 0.967 0.698
Hg3 Hg 0.304 0.643 0.107
Hg4 Hg 0.304 0.857 0.607
Hg5 Hg 0.482 0.739 0.529
Hg6 Hg 0.482 0.761 0.029
Hg7 Hg 0.518 0.239 0.971
Hg8 Hg 0.518 0.261 0.471
Hg9 Hg 0.696 0.143 0.393
Hg10 Hg 0.696 0.357 0.893
Hg11 Hg 0.874 0.033 0.302
Hg12 Hg 0.874 0.467 0.802
Cl1 Cl 0.020 0.580 0.707
Cl2 Cl 0.020 0.920 0.207
Cl3 Cl 0.097 0.191 0.540
Cl4 Cl 0.097 0.309 0.040
Cl5 Cl 0.145 0.613 0.457
Cl6 Cl 0.145 0.887 0.957
Cl7 Cl 0.171 0.174 0.237
Cl8 Cl 0.171 0.326 0.737
Cl9 Cl 0.319 0.522 0.903
Cl10 Cl 0.319 0.978 0.403
Cl11 Cl 0.327 0.119 0.029
Cl12 Cl 0.327 0.381 0.529
Cl13 Cl 0.340 0.728 0.811
Cl14 Cl 0.340 0.772 0.311
Cl15 Cl 0.496 0.558 0.692
Cl16 Cl 0.496 0.942 0.192
Cl17 Cl 0.504 0.058 0.808
Cl18 Cl 0.504 0.442 0.308
Cl19 Cl 0.660 0.228 0.689
Cl20 Cl 0.660 0.272 0.189
Cl21 Cl 0.673 0.619 0.471
Cl22 Cl 0.673 0.881 0.971
Cl23 Cl 0.681 0.022 0.597
Cl24 Cl 0.681 0.478 0.097
Cl25 Cl 0.829 0.674 0.263
Cl26 Cl 0.829 0.826 0.763
Cl27 Cl 0.855 0.113 0.043
Cl28 Cl 0.855 0.387 0.543
Cl29 Cl 0.903 0.691 0.960
Cl30 Cl 0.903 0.809 0.460
Cl31 Cl 0.980 0.080 0.793
Cl32 Cl 0.980 0.420 0.293
# Formation energy (no corrections) ... -1.140 eV per atom
# D(E_F) ... 0.0 states/eV per cell
# E_tot ... -151.96 eV/cell
# M_tot ... 0.0 μB per cell

***

# Hf5TaOs6 GGA-PBE relaxed
data_Hf5TaOs6
_cell_length_a 7.932
_cell_length_b 7.932
_cell_length_c 7.932
_cell_angle_alpha 146.38
_cell_angle_beta 131.84
_cell_angle_gamma 60.02
_symmetry_space_group_name_H-M 'P 1'
_symmetry_Int_Tables_number 1
loop_
_symmetry_equiv_pos_as_xyz
'x,y,z'
loop_
_atom_site_label
_atom_site_type_symbol
_atom_site_fract_x
_atom_site_fract_y
_atom_site_fract_z
Hf1 Hf 0.000 0.000 0.000
Hf2 Hf 0.167 0.667 0.500
Hf3 Hf 0.334 0.334 0.000
Hf4 Hf 0.666 0.666 0.000
Hf5 Hf 0.833 0.333 0.500
Ta1 Ta 0.500 0.000 0.500
Os1 Os 0.087 0.835 0.252
Os2 Os 0.254 0.500 0.754
Os3 Os 0.417 0.165 0.252
Os4 Os 0.583 0.835 0.748
Os5 Os 0.746 0.500 0.246
Os6 Os 0.913 0.165 0.748
# D(E_F) ... 2.3 states/eV per cell
# E_tot ... -136.55 eV/cell
# M_tot ... 0.0 μB per cell
# Formation enthalpy at 0 K ... -630 meV per atom

***

# CeNbTcC3 GGA-PBE relaxed
data_CeNbTcC3
_cell_length_a 7.125
_cell_length_b 3.256
_cell_length_c 7.874
_cell_angle_alpha 90.00
_cell_angle_beta 98.65
_cell_angle_gamma 90.00
_symmetry_space_group_name_H-M 'P 1'
_symmetry_Int_Tables_number 1
loop_
_symmetry_equiv_pos_as_xyz
'x,y,z'
loop_
_atom_site_label
_atom_site_type_symbol
_atom_site_fract_x
_atom_site_fract_y
_atom_site_fract_z
Ce1 Ce 0.165 0.250 0.183
Ce2 Ce 0.835 0.750 0.817
Nb1 Nb 0.365 0.750 0.870
Nb2 Nb 0.635 0.250 0.130
Tc1 Tc 0.119 0.250 0.601
Tc2 Tc 0.881 0.750 0.399
C1 C 0.138 0.250 0.859
C2 C 0.174 0.750 0.471
C3 C 0.423 0.750 0.137
C4 C 0.577 0.250 0.863
C5 C 0.826 0.250 0.529
C6 C 0.862 0.750 0.141
# D(E_F) ... 7.9 states/eV per cell
# E_tot ... -108.17 eV/cell
# M_tot ... 0.0 μB per cell
# Formation enthalpy at 0 K ... -7 meV per atom

***

Which formula does entry 4 have? CeNbTcC3